# GdTh3Tc

GdTh3Tc after structural relaxation (PBE, Alexandria via LeMat-Bulk).

Geometry as extended XYZ:
```
5
Lattice="5.489 0.000 0.000 0.000 5.489 0.000 0.000 0.000 5.489" Properties=species:S:1:pos:R:3 pbc="T T T"
Tc 0.000 0.000 0.000
Th 0.000 0.000 2.745
Th 2.745 0.000 0.000
Gd 2.745 2.745 2.745
Th 0.000 2.745 0.000
```

Energy of formation (eV per atom): 0.101
Final energy (eV/atom): -9.2403
ρ (Mg/m³): 9.6

---

# NiAsRh

NiAsRh after structural relaxation (PBE, Alexandria via LeMat-Bulk).

Geometry as extended XYZ:
```
3
Lattice="-1.882 0.313 4.545 -1.407 -2.615 3.934 2.304 -0.038 1.965" Properties=species:S:1:pos:R:3 pbc="T T T"
Rh -1.380 -1.529 6.256
As -3.232 -2.279 8.413
Ni 0.338 -0.834 4.255
```

Energy of formation (eV per atom): -0.108
Final energy (eV/atom): -6.0359
ρ (Mg/m³): 9.6

---

Question: Among the records above, which one has the lowest energy of formation?
Answer: NiAsRh

---

Repeat the first record exactly.
# GdTh3Tc

GdTh3Tc after structural relaxation (PBE, Alexandria via LeMat-Bulk).

Geometry as extended XYZ:
```
5
Lattice="5.489 0.000 0.000 0.000 5.489 0.000 0.000 0.000 5.489" Properties=species:S:1:pos:R:3 pbc="T T T"
Tc 0.000 0.000 0.000
Th 0.000 0.000 2.745
Th 2.745 0.000 0.000
Gd 2.745 2.745 2.745
Th 0.000 2.745 0.000
```

Energy of formation (eV per atom): 0.101
Final energy (eV/atom): -9.2403
ρ (Mg/m³): 9.6

---

Question: energy of formation of number 2 (NiAsRh)?
Answer: -0.108 eV per atom